Entry 1:
! Li5Np3S12 GGA-PBE relaxed; values from VASP
&SYSTEM
  ibrav = 0, nat = 80, ntyp = 3
/
ATOMIC_SPECIES
S 32.06 S.upf
Li 6.94 Li.upf
Np 237.00 Np.upf
CELL_PARAMETERS angstrom
12.7784 0.0000 0.0000
-4.2595 12.0476 0.0000
-4.2595 -6.0238 10.4335
ATOMIC_POSITIONS crystal
S 0.9109 0.8252 0.7748
S 0.3252 0.7748 0.4109
S 0.5858 0.9497 0.6748
S 0.8639 0.5891 0.9142
S 0.7748 0.4497 0.3639
S 0.0858 0.9109 0.1361
S 0.4142 0.3639 0.5891
S 0.2252 0.6748 0.0891
S 0.0503 0.6361 0.7252
S 0.6361 0.5858 0.9109
S 0.4109 0.2748 0.3252
S 0.6748 0.4497 0.5858
S 0.9497 0.5858 0.1748
S 0.2748 0.4109 0.8252
S 0.5503 0.2252 0.1361
S 0.0891 0.9142 0.3639
S 0.4109 0.1361 0.5858
S 0.8252 0.9142 0.0503
S 0.5503 0.3252 0.9142
S 0.5891 0.8639 0.4142
S 0.3252 0.5503 0.4142
S 0.9142 0.0891 0.8639
S 0.0503 0.4142 0.8252
S 0.6748 0.2252 0.5891
S 0.4142 0.0503 0.3252
S 0.9109 0.0858 0.6361
S 0.1748 0.0891 0.7252
S 0.2252 0.5503 0.6361
S 0.1361 0.4109 0.0858
S 0.0891 0.1748 0.2252
S 0.9497 0.3639 0.2748
S 0.2748 0.8639 0.9497
S 0.7252 0.1361 0.0503
S 0.6361 0.0503 0.2252
S 0.8639 0.2748 0.4497
S 0.7252 0.5891 0.1748
S 0.1748 0.0858 0.9497
S 0.4497 0.6748 0.0858
S 0.3639 0.9497 0.7748
S 0.5858 0.6361 0.4109
S 0.9142 0.8252 0.5503
S 0.0858 0.1748 0.4497
S 0.5891 0.7252 0.6748
S 0.3639 0.4142 0.0891
S 0.4497 0.7748 0.8639
S 0.7748 0.3252 0.9109
S 0.1361 0.7252 0.5503
S 0.8252 0.9109 0.2748
Li 0.5000 0.0000 0.5000
Li 0.0000 0.0000 0.5000
Li 0.1250 0.7500 0.3750
Li 0.8750 0.2500 0.6250
Li 0.6250 0.8750 0.2500
Li 0.5000 0.0000 0.0000
Li 0.8750 0.6250 0.7500
Li 0.0000 0.0000 0.0000
Li 0.6250 0.7500 0.8750
Li 0.3750 0.1250 0.7500
Li 0.2500 0.8750 0.1250
Li 0.7500 0.6250 0.3750
Li 0.5000 0.5000 0.0000
Li 0.0000 0.5000 0.0000
Li 0.7500 0.1250 0.8750
Li 0.5000 0.5000 0.5000
Li 0.0000 0.5000 0.5000
Li 0.3750 0.2500 0.1250
Li 0.1250 0.3750 0.2500
Li 0.2500 0.3750 0.6250
Np 0.7500 0.3750 0.1250
Np 0.6250 0.3750 0.7500
Np 0.2500 0.6250 0.8750
Np 0.3750 0.7500 0.6250
Np 0.2500 0.1250 0.3750
Np 0.1250 0.2500 0.8750
Np 0.1250 0.8750 0.7500
Np 0.8750 0.7500 0.1250
Np 0.3750 0.6250 0.2500
Np 0.6250 0.2500 0.3750
Np 0.7500 0.8750 0.6250
Np 0.8750 0.1250 0.2500
! Raw formation energy = -0.847 eV/atom
! Uncorrected energy = -459.5 eV per cell
! N(E_F) = 1.03 states/eV/atom

---

Entry 2:
! LiNpS2 GGA-PBE relaxed; values from VASP
&SYSTEM
  ibrav = 0, nat = 8, ntyp = 3
/
ATOMIC_SPECIES
Np 237.00 Np.upf
Li 6.94 Li.upf
S 32.06 S.upf
CELL_PARAMETERS angstrom
4.9333 -0.1014 2.2794
-0.9545 4.8411 2.2794
-0.1452 -0.1730 6.7917
ATOMIC_POSITIONS crystal
Np 0.3751 0.1249 0.2500
Np 0.6249 0.8751 0.7500
Li 0.1251 0.3749 0.7500
Li 0.8749 0.6251 0.2500
S 0.6182 0.3681 0.7639
S 0.1319 0.8818 0.7361
S 0.8681 0.1182 0.2639
S 0.3818 0.6319 0.2361
! Raw formation energy = -1.382 eV/atom
! Uncorrected energy = -57.3 eV per cell
! N(E_F) = 1.95 states/eV/atom

---

Entry 3:
! Li3Np2S4 GGA-PBE relaxed; values from VASP
&SYSTEM
  ibrav = 0, nat = 9, ntyp = 3
/
ATOMIC_SPECIES
Li 6.94 Li.upf
S 32.06 S.upf
Np 237.00 Np.upf
CELL_PARAMETERS angstrom
5.2363 -0.0232 1.3179
2.1592 6.3401 2.8240
1.1589 2.4692 6.6232
ATOMIC_POSITIONS crystal
Li 0.1780 0.5160 0.1101
Li 0.0000 0.0000 0.0000
Li 0.8220 0.4840 0.8899
S 0.6136 0.6472 0.1343
S 0.1512 0.1039 0.5935
S 0.3864 0.3528 0.8657
S 0.8488 0.8961 0.4065
Np 0.3784 0.8636 0.3808
Np 0.6216 0.1364 0.6192
! Raw formation energy = -1.224 eV/atom
! Uncorrected energy = -59.1 eV per cell
! N(E_F) = 1.36 states/eV/atom

---

Entry 4:
! Li5NpS6 GGA-PBE relaxed; values from VASP
&SYSTEM
  ibrav = 0, nat = 12, ntyp = 3
/
ATOMIC_SPECIES
Li 6.94 Li.upf
S 32.06 S.upf
Np 237.00 Np.upf
CELL_PARAMETERS angstrom
6.3626 0.2080 0.0000
1.9875 6.1011 0.0000
0.9938 3.0506 5.5490
ATOMIC_POSITIONS crystal
Li 0.5000 0.5000 0.0000
Li 0.0000 0.3317 0.3367
Li 0.5000 0.8399 0.3201
Li 0.5000 0.1601 0.6799
Li 0.0000 0.6683 0.6633
S 0.2344 0.2414 0.0000
S 0.2456 0.6021 0.3186
S 0.7544 0.3979 0.6814
S 0.7656 0.7586 0.0000
S 0.2456 0.9207 0.6814
S 0.7544 0.0793 0.3186
Np 0.0000 0.0000 0.0000
! Raw formation energy = -1.128 eV/atom
! Uncorrected energy = -60.8 eV per cell
! N(E_F) = 0.26 states/eV/atom

---

Entry 5:
! LiNpSbS4 GGA-PBE relaxed; values from VASP
&SYSTEM
  ibrav = 0, nat = 14, ntyp = 4
/
ATOMIC_SPECIES
S 32.06 S.upf
Li 6.94 Li.upf
Np 237.00 Np.upf
Sb 121.76 Sb.upf
CELL_PARAMETERS angstrom
-5.9556 3.0595 -4.1087
-6.8204 1.7798 3.7017
-1.9989 7.6319 1.0706
ATOMIC_POSITIONS crystal
S 0.7745 0.2433 0.7433
S 0.7630 0.2277 0.2463
S 0.7611 0.7567 0.2567
S 0.2370 0.2537 0.2723
S 0.2389 0.2433 0.7433
S 0.7630 0.7463 0.7277
S 0.2255 0.7567 0.2567
S 0.2370 0.7723 0.7537
Li 0.6254 0.6246 0.1246
Li 0.3746 0.3754 0.8754
Np 0.0000 0.5000 0.5000
Np 0.0000 0.0000 0.0000
Sb 0.0000 0.0000 0.5000
Sb 0.5000 0.0000 0.5000
! Raw formation energy = -0.920 eV/atom
! Uncorrected energy = -83.9 eV per cell
! N(E_F) = 1.06 states/eV/atom

---

Entry 6:
! Li4Np3SbS8 GGA-PBE relaxed; values from VASP
&SYSTEM
  ibrav = 0, nat = 16, ntyp = 4
/
ATOMIC_SPECIES
Sb 121.76 Sb.upf
Np 237.00 Np.upf
S 32.06 S.upf
Li 6.94 Li.upf
CELL_PARAMETERS angstrom
-5.4240 -5.5112 1.5650
4.5301 -5.3337 -3.0823
2.6073 4.7178 5.7646
ATOMIC_POSITIONS crystal
Sb 0.0000 0.5000 0.0000
Np 0.5000 0.5000 0.0000
Np 0.5000 0.5000 0.5000
Np 0.0000 0.5000 0.5000
S 0.2501 0.2461 0.9983
S 0.7482 0.2461 0.4963
S 0.7498 0.7497 0.4996
S 0.7482 0.2461 0.9983
S 0.2518 0.7539 0.0017
S 0.2502 0.2503 0.5004
S 0.7499 0.7539 0.0017
S 0.2518 0.7539 0.5037
Li 0.5000 0.0000 0.5000
Li 0.0000 0.0000 0.0000
Li 0.5000 0.0000 0.0000
Li 0.0000 0.0000 0.5000
! Raw formation energy = -1.172 eV/atom
! Uncorrected energy = -102.4 eV per cell
! N(E_F) = 1.75 states/eV/atom

---

Entry 7:
! Li3Np3SbS8 GGA-PBE relaxed; values from VASP
&SYSTEM
  ibrav = 0, nat = 15, ntyp = 4
/
ATOMIC_SPECIES
Sb 121.76 Sb.upf
S 32.06 S.upf
Li 6.94 Li.upf
Np 237.00 Np.upf
CELL_PARAMETERS angstrom
7.9298 0.0000 -0.0001
-3.9649 6.8666 -0.0236
0.0000 -4.5590 6.1071
ATOMIC_POSITIONS crystal
Sb 0.0000 0.0000 0.5000
S 0.7517 0.0032 0.2551
S 0.7501 0.5002 0.7502
S 0.2515 0.0032 0.2551
S 0.7485 0.9968 0.7449
S 0.2483 0.4966 0.7449
S 0.2499 0.4998 0.2498
S 0.2483 0.9968 0.7449
S 0.7517 0.5034 0.2551
Li 0.0000 0.0000 0.0000
Li 0.0000 0.5000 0.0000
Li 0.5000 0.5000 0.0000
Np 0.5000 0.0000 0.5000
Np 0.5000 0.5000 0.5000
Np 0.0000 0.5000 0.5000
! Raw formation energy = -1.155 eV/atom
! Uncorrected energy = -99.0 eV per cell
! N(E_F) = 2.08 states/eV/atom

---

Entry 8:
! Li2NpSbS4 GGA-PBE relaxed; values from VASP
&SYSTEM
  ibrav = 0, nat = 8, ntyp = 4
/
ATOMIC_SPECIES
S 32.06 S.upf
Li 6.94 Li.upf
Sb 121.76 Sb.upf
Np 237.00 Np.upf
CELL_PARAMETERS angstrom
3.9433 0.0000 0.0000
0.0000 6.8664 0.1114
0.0000 -2.4000 6.1274
ATOMIC_POSITIONS crystal
S 0.0000 0.7502 0.2527
S 0.5000 0.7469 0.7438
S 0.5000 0.2531 0.2562
S 0.0000 0.2498 0.7473
Li 0.5000 0.0000 0.5000
Li 0.0000 0.5000 0.5000
Sb 0.0000 0.0000 0.0000
Np 0.5000 0.5000 0.0000
! Raw formation energy = -0.983 eV/atom
! Uncorrected energy = -45.3 eV per cell
! N(E_F) = 1.39 states/eV/atom